1.
## Ba3MgCd (GGA-PBE)

Data for crystalline Ba3MgCd at its relaxed geometry.

Lattice parameters (Å, degrees): 12.3867 12.3867 6.1189 90.00 90.00 151.41
Positions (direct):
Ba: 0.0727 0.9273 0.7500
Ba: 0.2500 0.7500 0.7500
Ba: 0.4269 0.5731 0.7500
Ba: 0.5731 0.4269 0.2500
Ba: 0.7500 0.2500 0.2500
Ba: 0.9273 0.0727 0.2500
Mg: 0.1586 0.8414 0.2500
Mg: 0.8414 0.1586 0.7500
Cd: 0.3416 0.6584 0.2500
Cd: 0.6584 0.3416 0.7500

Energy above the most stable polymorph in this dataset   0.0000 eV per atom
Volume   224.6 Å³/f.u.
ΔE_f   -0.150 eV/atom
VASP energy   -1.81 eV per atom
Crystal system   orthorhombic

2.
## KBi2I (GGA-PBE)

Data for crystalline KBi2I at its relaxed geometry.

Lattice parameters (Å, degrees): 4.7152 4.7152 35.7227 90.00 90.00 90.00
Positions (direct):
K: 0.0000 0.0000 0.0000
K: 0.0000 0.5000 0.2500
K: 0.5000 0.0000 0.7500
K: 0.5000 0.5000 0.5000
Bi: 0.1969 0.2500 0.6250
Bi: 0.2500 0.6969 0.8750
Bi: 0.2500 0.8031 0.3750
Bi: 0.3031 0.2500 0.1250
Bi: 0.6969 0.7500 0.1250
Bi: 0.7500 0.1969 0.3750
Bi: 0.7500 0.3031 0.8750
Bi: 0.8031 0.7500 0.6250
I: 0.0000 0.0000 0.5000
I: 0.0000 0.5000 0.7500
I: 0.5000 0.0000 0.2500
I: 0.5000 0.5000 0.0000

Energy above the most stable polymorph in this dataset   0.0000 eV per atom
Volume   198.6 Å³/f.u.
Formation energy without anion corrections   -0.38 eV/atom
VASP energy   -2.98 eV per atom
Crystal system   tetragonal